# 1
The following is a PBE calculation of crystalline UTl3Pb2S6 at its relaxed geometry, from Alexandria via LeMat-Bulk.

Structure (POSCAR):
```
UTl3Pb2S6
1.0
3.667 -6.297 0.000
3.667 6.297 0.000
-2.385 0.000 7.339
U Tl Pb S
1 3 2 6
Cartesian
0.000 0.000 0.000
2.475 4.175 3.670
2.475 0.000 3.670
2.475 -4.175 3.670
3.667 2.100 0.000
3.667 -2.100 0.000
1.101 1.875 1.487
-0.225 0.000 5.781
1.101 -1.875 1.487
3.849 1.875 5.852
5.174 0.000 1.559
3.849 -1.875 5.852
```

Values from the calculation:
density of states at the Fermi level: 0.01 states/eV per atom
total DFT energy (no corrections): -4.971 eV per atom
formation energy without anion corrections: -0.76 eV per atom

# 2
The following is a PBE calculation of crystalline UTlPb2S6 at its relaxed geometry, from Alexandria via LeMat-Bulk.

Structure (POSCAR):
```
UTlPb2S6
1.0
3.612 2.086 6.210
-3.612 2.086 6.210
0.000 -4.171 6.210
U Tl Pb S
1 1 2 6
Cartesian
0.000 0.000 0.000
0.000 0.000 9.601
0.000 0.000 5.739
0.000 0.000 14.820
-0.818 -2.170 7.562
-2.536 -0.392 10.778
-1.470 1.794 7.562
1.608 -2.001 10.778
2.288 0.377 7.562
0.929 2.393 10.778
```

Values from the calculation:
density of states at the Fermi level: 0.48 states/eV per atom
total DFT energy (no corrections): -5.249 eV per atom
formation energy without anion corrections: -0.67 eV per atom

# 3
The following is a PBE calculation of crystalline YTl2PbS4 at its relaxed geometry, from Alexandria via LeMat-Bulk.

Structure (POSCAR):
```
YTl2PbS4
1.0
7.319 0.000 0.000
0.000 4.085 0.000
-2.417 0.000 7.104
Y Tl Pb S
1 2 1 4
Cartesian
0.000 0.000 0.000
-1.208 2.043 3.552
2.451 0.000 3.552
3.660 2.043 0.000
1.102 2.043 1.499
-0.134 0.000 5.496
5.036 0.000 1.608
3.800 2.043 5.605
```

Values from the calculation:
density of states at the Fermi level: 0.57 states/eV per atom
total DFT energy (no corrections): -4.819 eV per atom
formation energy without anion corrections: -0.89 eV per atom

# 4
The following is a PBE calculation of crystalline ZrTl2PbS4 at its relaxed geometry, from Alexandria via LeMat-Bulk.

Structure (POSCAR):
```
ZrTl2PbS4
1.0
7.173 0.000 0.000
0.000 3.968 0.000
-2.192 0.000 7.394
Zr Tl Pb S
1 2 1 4
Cartesian
0.000 0.000 0.000
-1.096 1.984 3.697
2.490 0.000 3.697
3.586 1.984 0.000
1.043 1.984 1.438
-0.106 0.000 5.882
5.087 0.000 1.511
3.938 1.984 5.956
```

Values from the calculation:
total DFT energy (no corrections): -5.029 eV per atom
E above lowest polymorph: 40 meV/atom
formation energy without anion corrections: -0.84 eV per atom

# 5
The following is a PBE calculation of crystalline ZrTl3Pb2S6 at its relaxed geometry, from Alexandria via LeMat-Bulk.

Structure (POSCAR):
```
ZrTl3Pb2S6
1.0
3.610 -6.214 0.000
3.610 6.214 0.000
-2.404 0.000 7.116
Zr Tl Pb S
1 3 2 6
Cartesian
0.000 0.000 0.000
2.408 4.110 3.558
2.408 0.000 3.558
2.408 -4.110 3.558
3.610 2.061 0.000
3.610 -2.061 0.000
1.078 1.848 1.470
-0.268 0.000 5.580
1.078 -1.848 1.470
3.738 1.848 5.645
5.084 0.000 1.536
3.738 -1.848 5.645
```

Values from the calculation:
density of states at the Fermi level: 0.54 states/eV per atom
total DFT energy (no corrections): -4.676 eV per atom
formation energy without anion corrections: -0.69 eV per atom

# 6
The following is a PBE calculation of crystalline ZrTl2PbS4 at its relaxed geometry, from Alexandria via LeMat-Bulk.

Structure (POSCAR):
```
ZrTl2PbS4
1.0
7.801 -4.150 0.000
7.801 4.150 0.000
-2.217 0.000 6.511
Zr Tl Pb S
2 4 2 8
Cartesian
6.138 3.126 4.883
7.247 -3.126 1.628
2.199 1.057 4.960
3.308 -1.057 1.705
10.078 1.057 4.806
11.186 -1.057 1.550
7.247 1.043 1.628
6.138 -1.043 4.883
4.086 3.291 6.498
8.191 3.291 3.269
4.963 1.329 3.498
7.314 1.329 6.268
6.072 -1.329 0.242
8.422 -1.329 3.013
5.195 -3.291 3.242
9.299 -3.291 0.013
```

Values from the calculation:
total DFT energy (no corrections): -5.069 eV per atom
E above lowest polymorph: 0 meV/atom
formation energy without anion corrections: -0.88 eV per atom

Q: What is the formation energy without anion corrections in the fifth record?
A: -0.69 eV per atom

What did the fourth record say?
The following is a PBE calculation of crystalline ZrTl2PbS4 at its relaxed geometry, from Alexandria via LeMat-Bulk.

Structure (POSCAR):
```
ZrTl2PbS4
1.0
7.173 0.000 0.000
0.000 3.968 0.000
-2.192 0.000 7.394
Zr Tl Pb S
1 2 1 4
Cartesian
0.000 0.000 0.000
-1.096 1.984 3.697
2.490 0.000 3.697
3.586 1.984 0.000
1.043 1.984 1.438
-0.106 0.000 5.882
5.087 0.000 1.511
3.938 1.984 5.956
```

Values from the calculation:
total DFT energy (no corrections): -5.029 eV per atom
E above lowest polymorph: 40 meV/atom
formation energy without anion corrections: -0.84 eV per atom

Q: Among the records above, which one has the highest total DFT energy (no corrections)?
A: ZrTl3Pb2S6